# PBE with a Hubbard U Na4Co3P4H18O24, optimized geometry
# **VASP energy**: -5.71 eV per atom
# **Crystal system**: monoclinic
data_Na4Co3P4H18O24
_chemical_formula_sum 'Na8 Co6 P8 H36 O48'
_cell_length_a 7.439
_cell_length_b 9.265
_cell_length_c 15.306
_cell_angle_alpha 90.00
_cell_angle_beta 95.25
_cell_angle_gamma 90.00
_space_group_name_H-M_alt 'P 1'
_space_group_IT_number 1
_space_group_name_Hall 'P 1'
loop_
_atom_site_label
_atom_site_fract_x
_atom_site_fract_y
_atom_site_fract_z
_atom_site_occupancy
O1 0.743 0.317 0.752 1
Na1 0.742 0.016 0.132 1
Co1 0.500 0.500 0.000 1
Na2 0.258 0.984 0.868 1
P1 0.753 0.979 0.927 1
O2 0.051 0.362 0.112 1
H1 0.123 0.497 0.700 1
O3 0.192 0.540 0.796 1
H2 0.272 0.403 0.112 1
P2 0.897 0.477 0.118 1
O4 0.407 0.410 0.119 1
H3 0.861 0.756 0.685 1
H4 0.631 0.741 0.540 1
O5 0.804 0.633 0.501 1
H5 0.765 0.285 0.234 1
H6 0.838 0.336 0.801 1
H7 0.139 0.256 0.815 1
O6 0.235 0.555 0.964 1
P3 0.103 0.523 0.882 1
O7 0.468 0.297 0.937 1
O8 0.532 0.797 0.563 1
O9 0.084 0.473 0.635 1
O10 0.425 0.444 0.626 1
H8 0.877 0.997 0.800 1
O11 0.949 0.862 0.388 1
O12 0.765 0.055 0.536 1
H9 0.148 0.313 0.221 1
O13 0.468 0.203 0.437 1
O14 0.916 0.973 0.865 1
O15 0.804 0.867 0.001 1
O16 0.532 0.703 0.063 1
H10 0.369 0.241 0.960 1
H11 0.446 0.309 0.126 1
H12 0.369 0.259 0.460 1
O17 0.084 0.027 0.135 1
H13 0.838 0.164 0.301 1
H14 0.579 0.265 0.449 1
O18 0.196 0.367 0.499 1
O19 0.217 0.303 0.280 1
O20 0.425 0.056 0.126 1
H15 0.123 0.003 0.200 1
O21 0.593 0.910 0.381 1
O22 0.916 0.527 0.365 1
Co2 0.975 0.240 0.496 1
O23 0.593 0.590 0.881 1
P4 0.897 0.023 0.618 1
O24 0.192 0.960 0.296 1
H16 0.235 0.715 0.766 1
Co3 0.500 0.000 0.500 1
O25 0.949 0.638 0.888 1
H17 0.139 0.244 0.315 1
P5 0.103 0.977 0.382 1
O26 0.980 0.868 0.615 1
O27 0.575 0.556 0.374 1
H18 0.446 0.191 0.626 1
P6 0.753 0.521 0.427 1
O28 0.808 0.460 0.204 1
H19 0.554 0.691 0.874 1
H20 0.421 0.765 0.051 1
H21 0.852 0.813 0.279 1
O29 0.217 0.197 0.780 1
H22 0.162 0.664 0.199 1
H23 0.728 0.903 0.388 1
O30 0.244 0.868 0.029 1
H24 0.765 0.215 0.734 1
O31 0.756 0.132 0.971 1
Co4 0.025 0.760 0.504 1
H25 0.162 0.836 0.699 1
O32 0.244 0.632 0.529 1
O33 0.783 0.697 0.720 1
O34 0.196 0.133 0.999 1
O35 0.808 0.040 0.704 1
H26 0.877 0.503 0.300 1
O36 0.765 0.445 0.036 1
O37 0.575 0.944 0.874 1
H27 0.579 0.235 0.949 1
O38 0.783 0.803 0.220 1
O39 0.235 0.945 0.464 1
Co5 0.975 0.260 0.996 1
O40 0.407 0.090 0.619 1
O41 0.020 0.368 0.885 1
O42 0.743 0.183 0.252 1
H28 0.861 0.744 0.185 1
Na3 0.742 0.484 0.632 1
O43 0.257 0.817 0.748 1
Na4 0.258 0.516 0.368 1
H29 0.852 0.687 0.779 1
O44 0.980 0.632 0.115 1
Na5 0.451 0.390 0.783 1
H30 0.421 0.735 0.551 1
H31 0.631 0.759 0.040 1
Na6 0.451 0.110 0.283 1
Na7 0.549 0.610 0.217 1
P7 0.247 0.021 0.073 1
O45 0.020 0.132 0.385 1
H32 0.148 0.187 0.721 1
O46 0.257 0.683 0.248 1
Na8 0.549 0.890 0.717 1
O47 0.756 0.368 0.471 1
H33 0.235 0.785 0.266 1
H34 0.728 0.597 0.888 1
O48 0.051 0.138 0.612 1
H35 0.272 0.097 0.612 1
Co6 0.025 0.740 0.004 1
P8 0.247 0.479 0.573 1
H36 0.554 0.809 0.374 1